NaYTe2O6: relaxed, GGA-PBE.

Geometry as extended XYZ:
```
20
Lattice="-5.7562 -3.0013 2.0278 1.2866 -2.7020 6.7261 -3.5235 4.8590 4.2629" Properties=species:S:1:pos:R:3 pbc="T T T"
Na -3.4034 1.6578 5.5683
Na -4.5897 -2.5021 7.4485
Y -1.4796 -1.3662 6.5534
Y -6.5135 0.5219 6.4634
Te -2.9808 0.0013 9.1853
Te -1.2123 -0.7943 3.2898
Te -5.0123 -0.8456 3.8315
Te -6.7809 -0.0500 9.7270
O -2.7132 3.0140 3.5195
O -5.4280 2.3992 6.9336
O -5.2799 -3.8583 9.4973
O -2.5651 -3.2435 6.0832
O -2.6194 -1.7940 8.6120
O -0.0254 -1.4326 4.6558
O -5.3737 0.9497 4.4048
O -7.9677 0.5883 8.3610
O -2.3767 0.5672 7.4362
O -2.4491 -0.3654 4.7148
O -5.6164 -1.4115 5.5806
O -5.5440 -0.4789 8.3020
```

Calculated values
Space-group type: C2/c (15)
Uncorrected formation energy, eV/atom: -1.80
N(E_F), states/eV per atom: 0.00
Mass density, Mg/m³: 4.586
Crystal system: monoclinic

NaYTe4O10: relaxed, GGA-PBE.

Geometry as extended XYZ:
```
64
Lattice="9.1212 0.0000 0.0000 0.0000 9.1212 0.0000 0.0000 0.0000 13.5925" Properties=species:S:1:pos:R:3 pbc="T T T"
Na 4.5606 0.0000 0.0000
Na 0.0000 4.5606 0.0000
Na 0.0000 4.5606 6.7962
Na 4.5606 0.0000 6.7962
Y 4.5606 0.0000 3.3981
Y 0.0000 4.5606 3.3981
Y 0.0000 4.5606 10.1944
Y 4.5606 0.0000 10.1944
Te 2.7981 6.5555 1.7741
Te 1.7625 1.9949 1.7741
Te 7.3587 7.1262 1.7741
Te 6.3231 2.5656 1.7741
Te 6.5555 2.7981 8.5703
Te 7.1262 7.3587 8.5703
Te 1.9949 1.7625 8.5703
Te 2.5656 6.3231 8.5703
Te 1.7625 7.1262 5.0222
Te 2.7981 2.5656 5.0222
Te 6.3231 6.5555 5.0222
Te 7.3587 1.9949 5.0222
Te 7.1262 1.7625 11.8184
Te 6.5555 6.3231 11.8184
Te 2.5656 2.7981 11.8184
Te 1.9949 7.3587 11.8184
O 3.1339 8.4107 1.6743
O 1.4267 3.8501 1.6743
O 7.6945 5.2711 1.6743
O 5.9873 0.7105 1.6743
O 8.4107 3.1339 8.4706
O 5.2711 7.6945 8.4706
O 3.8501 1.4267 8.4706
O 0.7105 5.9873 8.4706
O 1.4267 5.2711 5.1219
O 3.1339 0.7105 5.1219
O 5.9873 8.4107 5.1219
O 7.6945 3.8501 5.1219
O 5.2711 1.4267 11.9181
O 8.4107 5.9873 11.9181
O 0.7105 3.1339 11.9181
O 3.8501 7.6945 11.9181
O 1.1312 6.5961 2.6943
O 3.4294 2.0356 2.6943
O 5.6918 7.0856 2.6943
O 7.9900 2.5250 2.6943
O 6.5961 1.1312 9.4905
O 7.0856 5.6918 9.4905
O 2.0356 3.4294 9.4905
O 2.5250 7.9900 9.4905
O 3.4294 7.0856 4.1020
O 1.1312 2.5250 4.1020
O 7.9900 6.5961 4.1020
O 5.6918 2.0356 4.1020
O 7.0856 3.4294 10.8982
O 6.5961 7.9900 10.8982
O 2.5250 1.1312 10.8982
O 2.0356 5.6918 10.8982
O 1.8716 6.4321 0.0000
O 2.6890 1.8716 0.0000
O 6.4321 7.2496 0.0000
O 7.2496 2.6890 0.0000
O 6.4321 1.8716 6.7962
O 7.2496 6.4321 6.7962
O 1.8716 2.6890 6.7962
O 2.6890 7.2496 6.7962
```

Calculated values
Space-group type: P4_2/nbc (133)
Uncorrected formation energy, eV/atom: -1.58
N(E_F), states/eV per atom: 0.00
Mass density, Mg/m³: 4.595
Crystal system: tetragonal

NaY2TeO6: relaxed, GGA-PBE.

Geometry as extended XYZ:
```
10
Lattice="5.7853 0.0001 0.0002 2.8927 5.0101 -0.0001 2.8925 1.6701 5.0744" Properties=species:S:1:pos:R:3 pbc="T T T"
Na 8.6779 5.0101 3.0832
Y 5.7853 3.3402 2.1055
Y 2.8926 1.6702 4.8021
Te 2.8926 1.6701 0.1773
O 4.7868 1.5506 1.1746
O 4.7347 5.0995 1.1744
O 7.8343 3.3703 1.1747
O 6.4840 4.7297 3.9194
O 6.6392 2.0403 3.9195
O 4.2325 3.2506 3.9194
```

Calculated values
Space-group type: R3 (146)
Uncorrected formation energy, eV/atom: -2.35
N(E_F), states/eV per atom: 0.25
Mass density, Mg/m³: 4.791
Crystal system: trigonal

NaZnTe2O8: relaxed, GGA-PBE.

Geometry as extended XYZ:
```
12
Lattice="-5.4657 1.0127 -1.0498 1.7560 -0.8124 5.3158 1.0451 6.2774 0.6142" Properties=species:S:1:pos:R:3 pbc="T T T"
Na 0.5226 3.1387 0.3071
Zn 0.0000 0.0000 0.0000
Te -3.0011 0.7489 1.1058
Te 0.3365 5.7287 3.7744
O -3.1024 5.8893 2.8952
O -0.5809 5.5792 1.7746
O -2.7687 6.1026 0.1469
O 0.4378 0.5883 1.9850
O -2.0837 0.8985 3.1056
O 0.1040 0.3750 4.7333
O -2.6952 2.5862 1.2856
O 0.0306 3.8914 3.5946
```

Calculated values
Space-group type: P-3 (147)
Uncorrected formation energy, eV/atom: -0.73
N(E_F), states/eV per atom: 0.66
Mass density, Mg/m³: 4.420
Crystal system: trigonal

Na3Zn2TeO6: relaxed, GGA-PBE.

Geometry as extended XYZ:
```
12
Lattice="-1.4670 1.0917 -5.1979 -1.2213 -4.8870 2.2333 -3.8774 3.2682 2.7576" Properties=species:S:1:pos:R:3 pbc="T T T"
Na -3.2024 -2.2209 2.3293
Na -3.3632 1.6937 -2.5363
Na -3.2828 -0.2636 -0.1035
Zn -1.3033 -2.8912 -0.2474
Zn -1.3850 -0.9041 -2.7172
Te 0.0000 0.0000 0.0000
O -5.1826 0.6163 -1.2901
O -2.8196 -2.1699 -1.6525
O -1.3830 -1.1434 1.0831
O -5.1041 -1.2944 1.0847
O -3.7460 1.6427 1.4455
O -1.4615 0.7672 -1.2917
```

Calculated values
Space-group type: C2/m (12)
Uncorrected formation energy, eV/atom: -1.39
N(E_F), states/eV per atom: 0.30
Mass density, Mg/m³: 4.884
Crystal system: monoclinic

Na2ZnTeO: relaxed, GGA-PBE.

Geometry as extended XYZ:
```
5
Lattice="-2.5286 1.2560 3.9651 -2.6338 -4.0750 -0.3888 2.6438 -1.9279 2.2967" Properties=species:S:1:pos:R:3 pbc="T T T"
Na -1.3169 -2.0375 -0.1944
Na -1.2643 0.6280 1.9825
Zn 1.3219 -0.9640 1.1484
Te -1.2593 -2.3735 2.9365
O 0.0000 0.0000 0.0000
```

Calculated values
Space-group type: P4/mmm (123)
Uncorrected formation energy, eV/atom: -0.94
N(E_F), states/eV per atom: 0.27
Mass density, Mg/m³: 4.470
Crystal system: tetragonal

NaZn2TeO6: relaxed, GGA-PBE.

Geometry as extended XYZ:
```
20
Lattice="6.2988 0.1367 0.1419 2.1499 7.2382 -0.9495 2.1499 -1.2171 7.1980" Properties=species:S:1:pos:R:3 pbc="T T T"
Na 3.7246 6.3801 -0.0543
Na 6.8741 -0.2224 6.4447
Zn 4.8450 4.4295 3.3523
Zn 2.6043 2.9036 1.7687
Zn 5.7537 1.7283 3.0381
Zn 7.9944 3.2542 4.6216
Te 3.7246 0.3648 5.7420
Te 6.8741 5.7929 0.6483
O 4.9342 5.9991 4.8000
O 2.5150 1.5150 0.1466
O 5.6644 0.1587 1.5903
O 8.0837 4.6427 6.2438
O 5.4974 5.7525 1.8854
O 1.9518 4.4185 0.5010
O 5.1013 0.4052 4.5050
O 8.6469 1.7392 5.8894
O 2.9104 4.2143 3.3786
O 4.5389 2.8693 1.9828
O 7.6883 1.9435 3.0117
O 6.0598 3.2885 4.4075
```

Calculated values
Space-group type: C2/c (15)
Uncorrected formation energy, eV/atom: -1.02
N(E_F), states/eV per atom: 0.03
Mass density, Mg/m³: 3.967
Crystal system: monoclinic

NaZnTeO4: relaxed, GGA-PBE.

Geometry as extended XYZ:
```
7
Lattice="-3.7884 2.0963 3.1735 -3.4341 -3.8107 -1.5823 4.9090 -1.6408 2.4037" Properties=species:S:1:pos:R:3 pbc="T T T"
Na 0.0000 0.0000 0.0000
Zn -1.0682 -3.1543 0.8085
Te -3.6113 -0.8572 0.7956
O 2.5190 -1.3109 2.2698
O -2.9537 -2.6561 0.4854
O -0.5458 -2.4871 2.5946
O -3.6464 -0.2562 2.6401
```

Calculated values
Space-group type: I-4 (82)
Uncorrected formation energy, eV/atom: -1.16
N(E_F), states/eV per atom: 0.37
Mass density, Mg/m³: 3.786
Crystal system: tetragonal

NaZrTeO6: relaxed, GGA-PBE.

Geometry as extended XYZ:
```
18
Lattice="-4.1546 -2.7435 0.0862 2.7163 -4.0869 0.8447 -0.7691 1.4650 9.5607" Properties=species:S:1:pos:R:3 pbc="T T T"
Na -1.1042 -2.6816 5.2525
Na -0.0005 0.0010 0.0067
Zr -0.8491 -3.1676 2.0810
Zr -0.5145 0.9801 6.3959
Te -1.3615 -2.1915 8.4515
Te -0.2579 0.4912 3.2057
O 1.1283 -3.1341 5.3818
O -3.3181 -2.2648 4.8909
O -1.2257 -0.7619 9.7524
O -1.7332 -3.1720 10.0809
O 1.1859 -3.5291 2.5726
O -2.9266 -2.7250 2.1185
O -0.9662 -1.0235 6.9390
O -1.5436 -3.7656 7.3127
O -3.2283 -1.8567 8.0236
O 0.5405 -2.5936 8.4397
O -1.2840 -4.4995 3.6615
O -0.6347 -1.4157 3.2412
```

Calculated values
Space-group type: P4_2nm (102)
Uncorrected formation energy, eV/atom: -1.75
N(E_F), states/eV per atom: 0.50
Mass density, Mg/m³: 4.663
Crystal system: tetragonal

NaZrTe2O8: relaxed, GGA-PBE.

Geometry as extended XYZ:
```
12
Lattice="6.1037 0.1145 0.0000 -2.6045 5.5213 0.0000 -1.7496 -2.8179 5.1251" Properties=species:S:1:pos:R:3 pbc="T T T"
Na 0.0000 0.0000 0.0000
Zr -1.3023 2.7607 2.5626
Te 3.0519 0.0573 2.5626
Te 1.7496 2.8179 0.0000
O 1.5718 -0.5504 1.6257
O 0.2095 2.3792 1.0770
O 0.2899 -1.5749 4.0481
O 3.1636 -1.5388 3.4994
O 3.2897 3.2566 1.0770
O 4.5319 0.6649 1.6257
O 2.9401 1.6533 3.4994
O -0.2899 1.5749 4.0481
```

Calculated values
Space-group type: I-4m2 (119)
Uncorrected formation energy, eV/atom: -1.45
N(E_F), states/eV per atom: 0.22
Mass density, Mg/m³: 4.740
Crystal system: tetragonal

Na12ThO7: relaxed, GGA-PBE.

Geometry as extended XYZ:
```
20
Lattice="-8.3147 -0.0928 3.0050 0.4583 2.2093 -7.3351 3.3446 -6.8972 0.3699" Properties=species:S:1:pos:R:3 pbc="T T T"
Na -0.9479 0.2379 -3.2605
Na -5.7129 -3.9401 2.0589
Na -4.6493 1.2459 -3.9725
Na -2.7196 -1.7159 0.9116
Na -0.8236 -2.8189 -1.7208
Na 1.5893 -3.9335 -4.5772
Na -6.1011 -0.8473 0.6171
Na -3.6882 -1.9618 -2.2393
Na -1.7922 -3.0649 -4.8718
Na 0.1375 -6.0266 0.0124
Na 1.2011 -0.8406 -6.0190
Na -3.5639 -5.0186 -0.6997
Th 0.0000 0.0000 0.0000
O -0.2573 1.0385 -5.4017
O -7.1060 -2.0211 2.3404
O -2.6490 -3.9810 -2.7308
O -4.1574 -0.0464 1.5025
O -1.8628 -0.7997 -1.2294
O 2.5942 -2.7597 -6.3005
O -4.2545 -5.8192 1.4415
```

Calculated values
Space-group type: R-3 (148)
Uncorrected formation energy, eV/atom: -1.46
N(E_F), states/eV per atom: 0.18
Mass density, Mg/m³: 2.678
Crystal system: trigonal

Na3ThO4: relaxed, GGA-PBE.

Geometry as extended XYZ:
```
8
Lattice="-0.9892 -3.0242 3.5840 4.7040 -0.5265 0.7513 -0.1409 3.7302 3.0059" Properties=species:S:1:pos:R:3 pbc="T T T"
Na 3.1749 1.6463 3.7141
Na 0.3289 0.3978 5.1301
Na 2.7508 -1.7301 4.0031
O 2.6805 0.1346 5.5059
O 0.3987 -1.4677 3.6275
O 3.2460 -0.2184 2.2107
O 0.8229 1.9104 3.3384
Th 0.8934 0.0449 1.8351
```

Calculated values
Space-group type: R-3m (166)
Uncorrected formation energy, eV/atom: -2.10
N(E_F), states/eV per atom: 0.12
Mass density, Mg/m³: 5.508
Crystal system: trigonal

Na8ThO6: relaxed, GGA-PBE.

Geometry as extended XYZ:
```
15
Lattice="0.8599 0.4246 6.4236 6.0038 0.0408 2.4770 2.4173 6.1301 2.5546" Properties=species:S:1:pos:R:3 pbc="T T T"
Na 5.2268 4.2786 7.7567
Na 3.0949 2.5875 7.3181
Na 6.7172 2.4417 6.3420
Na 4.7011 6.0924 5.5348
Na 4.5800 0.5031 5.9204
Na 2.5638 4.1539 5.1132
Na 6.1861 4.0080 4.1371
Na 4.0542 2.3170 3.6985
Th 0.0000 0.0000 0.0000
O 5.1458 1.8319 7.9959
O 3.0734 5.0420 7.1597
O 6.8172 4.8969 6.2319
O 2.4638 1.6987 5.2233
O 6.2076 1.5535 4.2955
O 4.1352 4.7637 3.4593
```

Calculated values
Space-group type: R-3 (148)
Uncorrected formation energy, eV/atom: -1.77
N(E_F), states/eV per atom: 0.00
Mass density, Mg/m³: 3.885
Crystal system: trigonal

Na4ThO4: relaxed, GGA-PBE.

Geometry as extended XYZ:
```
9
Lattice="-2.5318 2.5323 -0.5855 -5.4014 -2.8422 -0.1785 -2.9513 1.2123 6.7630" Properties=species:S:1:pos:R:3 pbc="T T T"
Na -4.5206 0.8576 0.7716
Na -8.0936 0.1769 2.0348
Na -6.3639 0.0448 5.2275
Na -2.7910 0.7256 3.9643
Th -1.2659 1.2661 -0.2927
O -2.2502 0.7439 1.7050
O -8.6343 0.1585 4.2940
O -6.3618 2.6980 5.4509
O -4.5227 -1.7956 0.5482
```

Calculated values
Space-group type: C2/m (12)
Uncorrected formation energy, eV/atom: -2.14
N(E_F), states/eV per atom: 0.00
Mass density, Mg/m³: 4.275
Crystal system: monoclinic

Na2ThTi3O9: relaxed, GGA-PBE.

Geometry as extended XYZ:
```
15
Lattice="-4.3916 1.7161 -2.8328 0.1088 0.5031 5.4764 2.7744 6.0860 -0.6143" Properties=species:S:1:pos:R:3 pbc="T T T"
Na -1.9984 3.2707 -0.2608
Na 0.4901 5.0345 2.2901
Th 0.0000 0.0000 0.0000
Ti 1.3872 3.0430 -0.3071
Ti -0.6067 6.3237 -0.5689
Ti -0.9017 1.9815 2.5983
O -2.0279 3.5222 2.4791
O 0.5195 4.7829 -0.4498
O 0.0544 0.2516 2.7382
O -1.7248 5.9459 0.9356
O -2.1958 0.8580 -1.4164
O 0.2164 2.3593 1.0937
O -1.7818 5.6822 -1.9342
O -2.1414 1.1096 1.3218
O 0.2734 2.6230 3.9636
```

Calculated values
Space-group type: P-3m1 (164)
Uncorrected formation energy, eV/atom: -2.90
N(E_F), states/eV per atom: 0.00
Mass density, Mg/m³: 5.337
Crystal system: trigonal

NaThUO6: relaxed, GGA-PBE.

Geometry as extended XYZ:
```
18
Lattice="-1.7009 -0.0022 -5.4156 -3.6984 -1.1953 4.1370 -2.3170 9.6738 0.7238" Properties=species:S:1:pos:R:3 pbc="T T T"
Na -3.6118 1.6208 1.1337
Na -4.1045 6.8554 -1.6886
Th 0.0000 0.0000 0.0000
Th -1.1585 4.8369 0.3619
U -2.9460 2.0185 -2.0505
U -4.7704 6.4577 1.4956
O -3.8595 0.5101 -0.9599
O -3.0917 0.9060 -3.7941
O -5.5376 4.9740 2.7241
O -4.6246 7.5703 3.2393
O -2.6128 3.1804 -0.3657
O -4.8631 2.7825 -2.2517
O -6.6463 7.2463 1.0976
O -2.1788 3.5023 -3.2789
O -2.8533 5.6938 1.6968
O -1.0701 1.2300 -1.6524
O -5.1035 5.2959 -0.1891
O -3.8568 7.9662 0.4051
```

Calculated values
Space-group type: P-31c (163)
Uncorrected formation energy, eV/atom: -2.83
N(E_F), states/eV per atom: 0.96
Mass density, Mg/m³: 7.029
Crystal system: trigonal

Na2ThUO6: relaxed, GGA-PBE.

Geometry as extended XYZ:
```
20
Lattice="5.8853 0.0000 -0.0230 0.0000 6.0478 0.0000 0.0186 0.0000 8.4684" Properties=species:S:1:pos:R:3 pbc="T T T"
Na 0.0347 5.8530 2.1338
Na 2.9866 3.2187 6.3565
Na 5.8692 0.1948 6.3115
Na 2.9173 2.8291 2.0888
Th 2.9427 0.0000 -0.0115
Th 0.0093 3.0239 4.2342
U 2.9520 0.0000 4.2227
U 0.0000 3.0239 0.0000
O 1.7210 4.1397 0.4235
O 4.6730 4.9321 4.6462
O 4.1829 1.9081 8.0219
O 1.2310 1.1158 3.7992
O 1.8927 4.2991 3.7487
O 4.8446 4.7726 7.9714
O 4.0113 1.7487 4.6967
O 1.0593 1.2752 0.4740
O 5.2923 3.2730 1.9854
O 2.3590 5.7987 6.2311
O 0.6116 2.7748 6.4599
O 3.5449 0.2491 2.2142
```

Calculated values
Space-group type: P2_1/c (14)
Uncorrected formation energy, eV/atom: -2.94
N(E_F), states/eV per atom: 0.00
Mass density, Mg/m³: 6.744
Crystal system: monoclinic